(1)
The following is a PBE-GGA calculation of an optimized crystal structure of Pm4BiC, from the Alexandria database.

Polymorph energy (0 for the lowest one) = 0.000 eV per atom
Space group = Cmc2_1, No. 36
Calculated volume = 347 Å³/cell
DFT formation energy = -301 meV per atom

a b c (Å): 5.048 6.941 10.216
angles (deg): 90.00 104.30 90.00
Fractional positions:
Pm (0.910, 0.279, 0.821)
Pm (0.090, 0.779, 0.179)
Pm (0.498, 0.025, 0.997)
Pm (0.502, 0.525, 0.003)
Pm (0.683, 0.531, 0.366)
Pm (0.317, 0.031, 0.634)
Pm (0.680, 0.038, 0.359)
Pm (0.320, 0.538, 0.641)
Bi (0.910, 0.779, 0.820)
Bi (0.090, 0.279, 0.180)
C (0.598, 0.781, 0.197)
C (0.402, 0.281, 0.803)

---

(2)
The following is a PBE-GGA calculation of an optimized crystal structure of Pm5Bi2C2, from the Alexandria database.

Space group = C2/m, No. 12
Calculated volume = 250 Å³/cell
DFT formation energy = -345 meV per atom

a b c (Å): 5.480 7.291 7.222
angles (deg): 109.34 90.00 112.08
Fractional positions:
Pm (0.335, 0.669, 0.102)
Pm (0.665, 0.331, 0.898)
Pm (0.145, 0.290, 0.554)
Pm (0.855, 0.710, 0.446)
Pm (0.000, 0.000, 0.000)
Bi (0.398, 0.797, 0.693)
Bi (0.602, 0.203, 0.307)
C (0.153, 0.306, 0.878)
C (0.847, 0.694, 0.122)

---

(3)
The following is a PBE-GGA calculation of an optimized crystal structure of Pm5Bi2C, from the Alexandria database.

Space group = Cmcm, No. 63
Calculated volume = 587 Å³/cell
DFT formation energy = -148 meV per atom

a b c (Å): 5.631 8.552 12.911
angles (deg): 90.00 90.00 109.22
Site moments in Bohr magnetons follow the coordinates.
Fractional positions:
Pm (0.932, 0.863, 0.874)  0.08
Pm (0.932, 0.863, 0.626)  0.08
Pm (0.283, 0.566, 0.405)  0.03
Pm (0.283, 0.566, 0.095)  0.03
Pm (0.694, 0.389, 0.250)  0.11
Pm (0.306, 0.611, 0.750)  0.11
Pm (0.717, 0.434, 0.595)  0.03
Pm (0.717, 0.434, 0.905)  0.03
Pm (0.068, 0.137, 0.126)  0.08
Pm (0.068, 0.137, 0.374)  0.08
Bi (0.864, 0.728, 0.398)  0.00
Bi (0.864, 0.728, 0.102)  0.00
Bi (0.136, 0.272, 0.602)  0.00
Bi (0.136, 0.272, 0.898)  0.00
C (0.819, 0.637, 0.750)  -0.01
C (0.181, 0.363, 0.250)  -0.01

---

(4)
The following is a PBE-GGA calculation of an optimized crystal structure of Pm2BiC, from the Alexandria database.

Polymorph energy (0 for the lowest one) = 0.949 eV per atom
Space group = P4/mmm, No. 123
Calculated volume = 98 Å³/cell
DFT formation energy = 483 meV per atom

a b c (Å): 4.009 4.939 4.939
angles (deg): 90.00 90.00 90.00
Fractional positions:
C (0.500, 0.500, 0.500)
Bi (0.500, 0.000, 0.000)
Pm (0.000, 0.000, 0.500)
Pm (0.000, 0.500, 0.000)

---

Repeat the third record exactly.
The following is a PBE-GGA calculation of an optimized crystal structure of Pm5Bi2C, from the Alexandria database.

Space group = Cmcm, No. 63
Calculated volume = 587 Å³/cell
DFT formation energy = -148 meV per atom

a b c (Å): 5.631 8.552 12.911
angles (deg): 90.00 90.00 109.22
Site moments in Bohr magnetons follow the coordinates.
Fractional positions:
Pm (0.932, 0.863, 0.874)  0.08
Pm (0.932, 0.863, 0.626)  0.08
Pm (0.283, 0.566, 0.405)  0.03
Pm (0.283, 0.566, 0.095)  0.03
Pm (0.694, 0.389, 0.250)  0.11
Pm (0.306, 0.611, 0.750)  0.11
Pm (0.717, 0.434, 0.595)  0.03
Pm (0.717, 0.434, 0.905)  0.03
Pm (0.068, 0.137, 0.126)  0.08
Pm (0.068, 0.137, 0.374)  0.08
Bi (0.864, 0.728, 0.398)  0.00
Bi (0.864, 0.728, 0.102)  0.00
Bi (0.136, 0.272, 0.602)  0.00
Bi (0.136, 0.272, 0.898)  0.00
C (0.819, 0.637, 0.750)  -0.01
C (0.181, 0.363, 0.250)  -0.01

---

Question: Number 2 is which compound?
Answer: Pm5Bi2C2